CaAlGa2Co: optimized geometry, PBE-GGA.

extended XYZ file:
```
5
Lattice="4.591 0.000 0.000 0.000 4.591 0.000 0.000 0.000 4.535" Properties=species:S:1:pos:R:3 pbc="T T T"
Ca 2.295 2.295 2.267
Ga 0.000 2.295 0.000
Ga 2.295 0.000 0.000
Al 0.000 0.000 2.267
Co 0.000 0.000 0.000
```

Energy of formation from the pure elements ... -312 meV per atom
DOS(E_F) ... 3.66 states/eV/f.u.
SG ... P4/mmm, No. 123